Entry 1:
ThTl2I2Br4 | PBE | optimized geometry

Values from the calculation:
calculated density	5.162	g/cm³
calculated total energy	-33.1	eV for the cell shown
SG	C2/m (12)
energy relative to the elements, uncorrected	-1.2382	eV per atom

Cell: 8.1479 8.1788 8.1788 Å, 57.92 62.17 62.17°
With the nearest neighbours (Å) after each atom.
Fractional coordinates of all 9 atoms:
Br (0.3254, 0.6871, 0.1871)  1 Th 2.85
Br (0.6746, 0.8129, 0.3129)  1 Th 2.85
Br (0.6746, 0.3129, 0.8129)  1 Th 2.85
Br (0.3254, 0.1871, 0.6871)  1 Th 2.85
I (0.1461, 0.2398, 0.2398)  1 Th 3.09
I (0.8539, 0.7602, 0.7602)  1 Th 3.09
Th (0.5000, 0.0000, 0.0000)  4 Br 2.85, 2 I 3.09
Tl (0.7033, 0.2479, 0.2479)  4 Br 3.41-3.44, 1 I 3.55
Tl (0.2967, 0.7521, 0.7521)  4 Br 3.41-3.44, 1 I 3.55



Entry 2:
TiI2Br | PBE | optimized geometry

Values from the calculation:
E above lowest polymorph	210.4	kJ/mol of formula units
calculated density	4.056	g/cm³
calculated total energy	-27.7	eV for the cell shown
SG	I-42d (122)
energy relative to the elements, uncorrected	-0.2971	eV per atom

Cell: 7.9448 7.9448 7.4876 Å, 57.96 57.96 90.00°
With the nearest neighbours (Å) after each atom.
Fractional coordinates of all 8 atoms:
I (0.8750, 0.7900, 0.7500)  2 Ti 2.68
I (0.2100, 0.6250, 0.2500)  2 Ti 2.68
I (0.5400, 0.1250, 0.2500)  2 Ti 2.68
I (0.3750, 0.4600, 0.7500)  2 Ti 2.68
Br (0.0000, 0.0000, 0.0000)  4 I 3.54
Br (0.7500, 0.2500, 0.5000)  4 I 3.54
Ti (0.5000, 0.5000, 0.0000)  4 I 2.68
Ti (0.2500, 0.7500, 0.5000)  4 I 2.68



Entry 3:
TiI3Br | PBE | optimized geometry

Values from the calculation:
E above lowest polymorph	262.4	kJ/mol of formula units
calculated density	5.099	g/cm³
calculated total energy	-15.8	eV for the cell shown
SG	Pm-3m (221)
energy relative to the elements, uncorrected	-0.3136	eV per atom

Cell: 5.4913 5.4913 5.4913 Å, 90.00 90.00 90.00°
With the nearest neighbours (Å) after each atom.
Fractional coordinates of all 5 atoms:
Ti (0.0000, 0.0000, 0.0000)  6 I 2.75
I (0.0000, 0.0000, 0.5000)  2 Ti 2.75
I (0.0000, 0.5000, 0.0000)  2 Ti 2.75
I (0.5000, 0.0000, 0.0000)  2 Ti 2.75
Br (0.5000, 0.5000, 0.5000)  12 I 3.88



Entry 4:
Ti2I3Br4 | PBE | optimized geometry

Values from the calculation:
calculated density	4.177	g/cm³
calculated total energy	-70.6	eV for the cell shown
SG	C2/c (15)
energy relative to the elements, uncorrected	-0.9072	eV per atom

Cell: 7.3814 9.6929 9.6928 Å, 71.81 77.01 77.01°
With the nearest neighbours (Å) after each atom.
Fractional coordinates of all 18 atoms:
I (0.0834, 0.0779, 0.7296)  1 Ti 2.58
I (0.9166, 0.9221, 0.2704)  1 Ti 2.58
I (0.7500, 0.5469, 0.4531)  2 Ti 2.82
I (0.2500, 0.4531, 0.5469)  2 Ti 2.82
I (0.4166, 0.2704, 0.9221)  1 Ti 2.58
I (0.5834, 0.7296, 0.0779)  1 Ti 2.58
Br (0.0675, 0.2610, 0.3157)  2 Ti 2.57-2.79
Br (0.9325, 0.7390, 0.6843)  2 Ti 2.57-2.79
Br (0.5675, 0.3157, 0.2610)  2 Ti 2.57-2.79
Br (0.6048, 0.0528, 0.6127)  2 Ti 2.58-2.62
Br (0.3952, 0.9472, 0.3873)  2 Ti 2.58-2.62
Br (0.8952, 0.3873, 0.9472)  2 Ti 2.58-2.62
Br (0.1048, 0.6127, 0.0528)  2 Ti 2.58-2.62
Br (0.4325, 0.6843, 0.7390)  2 Ti 2.57-2.79
Ti (0.8096, 0.4908, 0.1769)  4 Br 2.57-2.79, 2 I 2.58-2.82
Ti (0.1904, 0.5092, 0.8231)  4 Br 2.57-2.79, 2 I 2.58-2.82
Ti (0.3096, 0.1769, 0.4908)  4 Br 2.57-2.79, 2 I 2.58-2.82
Ti (0.6904, 0.8231, 0.5092)  4 Br 2.57-2.79, 2 I 2.58-2.82



Entry 5:
Ti6IBr12 | PBE | optimized geometry

Values from the calculation:
calculated density	3.835	g/cm³
calculated total energy	-85.7	eV for the cell shown
SG	R-3m (166)
energy relative to the elements, uncorrected	-0.8776	eV per atom

Cell: 8.4858 8.4858 8.4858 Å, 97.36 97.36 97.36°
With the nearest neighbours (Å) after each atom.
Fractional coordinates of all 19 atoms:
I (0.0000, 0.0000, 0.0000)  6 Ti 3.20
Br (0.5000, 0.8686, 0.1314)  2 Ti 2.66
Br (0.8686, 0.1314, 0.5000)  2 Ti 2.66
Br (0.1689, 0.4376, 0.4376)  2 Ti 2.52
Br (0.1314, 0.5000, 0.8686)  2 Ti 2.66
Br (0.5624, 0.5624, 0.8311)  2 Ti 2.52
Br (0.5000, 0.1314, 0.8686)  2 Ti 2.66
Br (0.8686, 0.5000, 0.1314)  2 Ti 2.66
Br (0.5624, 0.8311, 0.5624)  2 Ti 2.52
Br (0.4376, 0.4376, 0.1689)  2 Ti 2.52
Br (0.8311, 0.5624, 0.5624)  2 Ti 2.52
Br (0.1314, 0.8686, 0.5000)  2 Ti 2.66
Br (0.4376, 0.1689, 0.4376)  2 Ti 2.52
Ti (0.8631, 0.6321, 0.8631)  4 Br 2.52-2.66
Ti (0.3679, 0.1369, 0.1369)  4 Br 2.52-2.66
Ti (0.8631, 0.8631, 0.6321)  4 Br 2.52-2.66
Ti (0.1369, 0.1369, 0.3679)  4 Br 2.52-2.66
Ti (0.1369, 0.3679, 0.1369)  4 Br 2.52-2.66
Ti (0.6321, 0.8631, 0.8631)  4 Br 2.52-2.66



Entry 6:
TiI3Br | PBE | optimized geometry

Values from the calculation:
E above lowest polymorph	0.0	kJ/mol of formula units
calculated density	3.041	g/cm³
calculated total energy	-37.0	eV for the cell shown
SG	P2_1/m (11)
energy relative to the elements, uncorrected	-0.8574	eV per atom

Cell: 7.7808 7.5721 9.7453 Å, 90.00 90.00 104.74°
With the nearest neighbours (Å) after each atom.
Fractional coordinates of all 10 atoms:
I (0.7661, 0.2394, 0.5362)  1 Ti 2.55
I (0.2339, 0.7606, 0.4638)  1 Ti 2.55
I (0.2548, 0.2905, 0.2500)  1 Ti 2.56
I (0.7452, 0.7095, 0.7500)  1 Ti 2.56
I (0.7661, 0.2394, 0.9638)  1 Ti 2.55
I (0.2339, 0.7606, 0.0362)  1 Ti 2.55
Br (0.6664, 0.7337, 0.2500)  1 Ti 2.34
Br (0.3336, 0.2663, 0.7500)  1 Ti 2.34
Ti (0.3556, 0.6394, 0.2500)  1 Br 2.34, 3 I 2.55-2.56
Ti (0.6444, 0.3606, 0.7500)  1 Br 2.34, 3 I 2.55-2.56



Entry 7:
Ti3IBr7 | PBE | optimized geometry

Values from the calculation:
calculated density	4.070	g/cm³
calculated total energy	-49.5	eV for the cell shown
SG	P3m1 (156)
energy relative to the elements, uncorrected	-1.1404	eV per atom

Cell: 7.3546 7.2907 7.2907 Å, 120.00 90.00 90.00°
With the nearest neighbours (Å) after each atom.
Fractional coordinates of all 11 atoms:
Ti (0.7820, 0.0433, 0.5217)  5 Br 2.54-2.79, 1 I 2.78
Ti (0.7820, 0.4783, 0.9566)  5 Br 2.54-2.79, 1 I 2.78
Ti (0.7820, 0.4783, 0.5217)  5 Br 2.54-2.79, 1 I 2.78
Br (0.5960, 0.8316, 0.6633)  2 Ti 2.63
Br (0.5960, 0.8316, 0.1684)  2 Ti 2.63
Br (0.0012, 0.1696, 0.3392)  2 Ti 2.54
Br (0.5960, 0.3367, 0.1684)  2 Ti 2.63
Br (0.0012, 0.1696, 0.8304)  2 Ti 2.54
Br (0.0012, 0.6608, 0.8304)  2 Ti 2.54
Br (0.9795, 0.6667, 0.3333)  3 Ti 2.79
I (0.4979, 0.3333, 0.6667)  3 Ti 2.78



Entry 8:
TiI2Br | PBE | optimized geometry

Values from the calculation:
E above lowest polymorph	7.7	kJ/mol of formula units
calculated density	3.772	g/cm³
calculated total energy	-16.0	eV for the cell shown
SG	Cm (8)
energy relative to the elements, uncorrected	-0.8223	eV per atom

Cell: 3.5664 7.4945 7.6213 Å, 120.89 90.00 103.76°
With the nearest neighbours (Å) after each atom.
Fractional coordinates of all 4 atoms:
I (0.5414, 0.0827, 0.7756)  2 Ti 2.81
I (0.3973, 0.7946, 0.1999)  2 Ti 2.81
Br (0.2524, 0.5049, 0.4600)  2 Ti 2.63
Ti (0.8901, 0.7801, 0.4776)  2 Br 2.63, 4 I 2.81



Entry 9:
Ti2IBr3 | PBE | optimized geometry

Values from the calculation:
E above lowest polymorph	0.0	kJ/mol of formula units
calculated density	4.134	g/cm³
calculated total energy	-55.5	eV for the cell shown
SG	C2/m (12)
energy relative to the elements, uncorrected	-0.8983	eV per atom

Cell: 3.6461 9.6500 11.0654 Å, 104.53 99.48 90.00°
With the nearest neighbours (Å) after each atom.
Fractional coordinates of all 12 atoms:
Br (0.7068, 0.6494, 0.4135)  3 Ti 2.57-2.59
Br (0.5901, 0.3470, 0.1802)  3 Ti 2.64
Br (0.2932, 0.3506, 0.5865)  3 Ti 2.57-2.59
Br (0.9642, 0.1309, 0.9284)  2 Ti 2.63
Br (0.0358, 0.8691, 0.0716)  2 Ti 2.63
Br (0.4099, 0.6530, 0.8198)  3 Ti 2.64
I (0.3266, 0.9200, 0.6532)  3 Ti 2.83-2.87
I (0.6734, 0.0800, 0.3468)  3 Ti 2.83-2.87
Ti (0.7143, 0.3875, 0.4285)  4 Br 2.57-2.64, 1 I 2.87
Ti (0.0861, 0.1472, 0.1723)  4 Br 2.63-2.64, 2 I 2.83
Ti (0.2857, 0.6125, 0.5715)  4 Br 2.57-2.64, 1 I 2.87
Ti (0.9139, 0.8528, 0.8277)  4 Br 2.63-2.64, 2 I 2.83



Entry 10:
TiI2Br6 | PBE | optimized geometry

Values from the calculation:
calculated density	2.017	g/cm³
calculated total energy	-53.9	eV for the cell shown
SG	C2/c (15)
energy relative to the elements, uncorrected	-0.6601	eV per atom

Cell: 8.5351 12.9484 12.9484 Å, 104.14 76.67 76.67°
With the nearest neighbours (Å) after each atom.
Fractional coordinates of all 18 atoms:
Br (0.9582, 0.1093, 0.6843)  1 Ti 2.34
Br (0.0418, 0.8907, 0.3157)  1 Ti 2.34
Br (0.2733, 0.6444, 0.6448)  2 I 2.75
Br (0.7267, 0.3556, 0.3552)  2 I 2.75
Br (0.8722, 0.1592, 0.9981)  1 Ti 2.33
Br (0.1278, 0.8408, 0.0019)  1 Ti 2.33
Br (0.2267, 0.3552, 0.3556)  2 I 2.75
Br (0.6278, 0.0019, 0.8408)  1 Ti 2.33
Br (0.3722, 0.9981, 0.1592)  1 Ti 2.33
Br (0.5418, 0.3157, 0.8907)  1 Ti 2.34
Br (0.4582, 0.6843, 0.1093)  1 Ti 2.34
Br (0.7733, 0.6448, 0.6444)  2 I 2.75
I (0.5236, 0.5590, 0.7288)  2 Br 2.75
I (0.4764, 0.4410, 0.2712)  2 Br 2.75
I (0.9764, 0.2712, 0.4410)  2 Br 2.75
I (0.0236, 0.7288, 0.5590)  2 Br 2.75
Ti (0.7500, 0.1465, 0.8535)  4 Br 2.33-2.34
Ti (0.2500, 0.8535, 0.1465)  4 Br 2.33-2.34



Entry 11:
TiI3Br | PBE | optimized geometry

Values from the calculation:
E above lowest polymorph	75.1	kJ/mol of formula units
calculated density	3.515	g/cm³
calculated total energy	-70.9	eV for the cell shown
SG	Pnma (62)
energy relative to the elements, uncorrected	-0.7017	eV per atom

Cell: 9.0057 14.4114 7.4028 Å, 90.00 90.00 90.00°
With the nearest neighbours (Å) after each atom.
Fractional coordinates of all 20 atoms:
I (0.3926, 0.4674, 0.7500)  1 Ti 2.55
I (0.7419, 0.8006, 0.5016)  1 Ti 2.60
I (0.1074, 0.9674, 0.2500)  1 Ti 2.55
I (0.2419, 0.6994, 0.5016)  1 Ti 2.60
I (0.2419, 0.6994, 0.9984)  1 Ti 2.60
I (0.2581, 0.1994, 0.0016)  1 Ti 2.60
I (0.7581, 0.3006, 0.0016)  1 Ti 2.60
I (0.6074, 0.5326, 0.2500)  1 Ti 2.55
I (0.7581, 0.3006, 0.4984)  1 Ti 2.60
I (0.2581, 0.1994, 0.4984)  1 Ti 2.60
I (0.8926, 0.0326, 0.7500)  1 Ti 2.55
I (0.7419, 0.8006, 0.9984)  1 Ti 2.60
Ti (0.1735, 0.5790, 0.7500)  3 I 2.55-2.60, 2 Br 2.68
Ti (0.8265, 0.4210, 0.2500)  3 I 2.55-2.60, 2 Br 2.68
Ti (0.6735, 0.9210, 0.7500)  3 I 2.55-2.60, 2 Br 2.68
Ti (0.3265, 0.0790, 0.2500)  3 I 2.55-2.60, 2 Br 2.68
Br (0.0000, 0.5000, 0.0000)  2 Ti 2.68
Br (0.5000, 0.0000, 0.5000)  2 Ti 2.68
Br (0.5000, 0.0000, 0.0000)  2 Ti 2.68
Br (0.0000, 0.5000, 0.5000)  2 Ti 2.68



Entry 12:
TiI2Br | PBE | optimized geometry

Values from the calculation:
E above lowest polymorph	336.1	kJ/mol of formula units
calculated density	5.932	g/cm³
calculated total energy	-12.6	eV for the cell shown
SG	Fm-3m (225)
energy relative to the elements, uncorrected	0.0286	eV per atom

Cell: 5.3257 5.3257 5.3257 Å, 60.00 60.00 60.00°
With the nearest neighbours (Å) after each atom.
Fractional coordinates of all 4 atoms:
Ti (0.0000, 0.0000, 0.0000)  8 I 3.26
Br (0.5000, 0.5000, 0.5000)  8 I 3.26
I (0.7500, 0.7500, 0.7500)  4 Br 3.26, 4 Ti 3.26
I (0.2500, 0.2500, 0.2500)  4 Br 3.26, 4 Ti 3.26



> calculated total energy of number 10 (TiI2Br6)?

-53.9 eV for the cell shown